Model one:
A relaxed structure of Ac2La3Pr4. Source: Alexandria, functional PBE-GGA. Values from VASP.

- D(E_F): 16.5 states/eV/cell
- Symmetry: P3m1 (156)
- Size of the total moment: 0.0 μB per cell

The structure in Quantum ESPRESSO input format:
```
&SYSTEM
  ibrav = 0, nat = 9, ntyp = 3
/
ATOMIC_SPECIES
Ac 227.00 Ac.upf
La 138.91 La.upf
Pr 140.91 Pr.upf
CELL_PARAMETERS angstrom
3.792 0.000 0.000
-1.896 3.284 0.000
0.000 0.000 28.215
ATOMIC_POSITIONS crystal
Ac 0.000 0.000 0.000
Ac 0.000 0.000 0.226
La 0.000 0.000 0.782
La 0.333 0.667 0.115
La 0.333 0.667 0.457
Pr 0.000 0.000 0.353
Pr 0.000 0.000 0.568
Pr 0.333 0.667 0.673
Pr 0.333 0.667 0.889
```

=====

Model two:
A relaxed structure of Ac2La3Pr4. Source: Alexandria, functional PBE-GGA. Values from VASP.

- D(E_F): 17.3 states/eV/cell
- Symmetry: C2/m (12)
- Size of the total moment: 0.0 μB per cell

The structure in Quantum ESPRESSO input format:
```
&SYSTEM
  ibrav = 0, nat = 9, ntyp = 3
/
ATOMIC_SPECIES
Ac 227.00 Ac.upf
La 138.91 La.upf
Pr 140.91 Pr.upf
CELL_PARAMETERS angstrom
8.206 -1.901 0.000
8.206 1.901 0.000
-2.554 0.000 11.076
ATOMIC_POSITIONS crystal
Ac 0.167 0.167 0.223
Ac 0.833 0.833 0.777
La 0.164 0.164 0.554
La 0.500 0.500 0.000
La 0.836 0.836 0.446
Pr 0.165 0.165 0.889
Pr 0.498 0.498 0.333
Pr 0.502 0.502 0.667
Pr 0.835 0.835 0.111
```

=====

Result of the stability comparison: model two is the most stable of them.

=====

Model one:
A relaxed structure of Ac3La2Pr4. Source: Alexandria, functional PBE-GGA. Values from VASP.

- D(E_F): 16.3 states/eV/cell
- Symmetry: P-1 (2)
- Size of the total moment: 0.0 μB per cell

The structure in Quantum ESPRESSO input format:
```
&SYSTEM
  ibrav = 0, nat = 9, ntyp = 3
/
ATOMIC_SPECIES
Ac 227.00 Ac.upf
La 138.91 La.upf
Pr 140.91 Pr.upf
CELL_PARAMETERS angstrom
5.420 0.000 0.000
-2.690 8.048 0.000
-0.002 -2.694 8.106
ATOMIC_POSITIONS crystal
Ac 0.000 0.000 0.000
Ac 0.443 0.887 0.666
Ac 0.557 0.113 0.334
La 0.224 0.448 0.331
La 0.776 0.552 0.669
Pr 0.114 0.229 0.668
Pr 0.330 0.660 0.002
Pr 0.670 0.340 0.998
Pr 0.886 0.771 0.332
```

=====

Model two:
A relaxed structure of Ac3La2Pr4. Source: Alexandria, functional PBE-GGA. Values from VASP.

- D(E_F): 14.0 states/eV/cell
- Symmetry: C2/m (12)
- Size of the total moment: 0.0 μB per cell

The structure in Quantum ESPRESSO input format:
```
&SYSTEM
  ibrav = 0, nat = 9, ntyp = 3
/
ATOMIC_SPECIES
Ac 227.00 Ac.upf
La 138.91 La.upf
Pr 140.91 Pr.upf
CELL_PARAMETERS angstrom
8.931 -3.077 0.000
8.931 3.077 0.000
-2.660 0.000 6.487
ATOMIC_POSITIONS crystal
Ac 0.000 0.000 0.000
Ac 0.136 0.136 0.584
Ac 0.864 0.864 0.416
La 0.367 0.367 0.709
La 0.633 0.633 0.291
Pr 0.221 0.221 0.153
Pr 0.426 0.426 0.245
Pr 0.574 0.574 0.755
Pr 0.779 0.779 0.847
```

=====

Result of the stability comparison: model one is the most stable of them.

=====

Model one:
A relaxed structure of AcLa12Pr7. Source: Alexandria, functional PBE-GGA. Values from VASP.

- D(E_F): 30.5 states/eV/cell
- Symmetry: R-3m (166)
- Size of the total moment: 0.0 μB per cell

The structure in Quantum ESPRESSO input format:
```
&SYSTEM
  ibrav = 0, nat = 20, ntyp = 3
/
ATOMIC_SPECIES
Ac 227.00 Ac.upf
La 138.91 La.upf
Pr 140.91 Pr.upf
CELL_PARAMETERS angstrom
7.043 4.066 4.270
-7.043 4.066 4.270
0.000 -8.132 4.270
ATOMIC_POSITIONS crystal
Ac 0.000 0.000 0.000
La 0.000 0.261 0.739
La 0.000 0.739 0.261
La 0.158 0.592 0.592
La 0.261 0.000 0.739
La 0.261 0.739 0.000
La 0.408 0.408 0.842
La 0.408 0.842 0.408
La 0.592 0.158 0.592
La 0.592 0.592 0.158
La 0.739 0.000 0.261
La 0.739 0.261 0.000
La 0.842 0.408 0.408
Pr 0.151 0.151 0.414
Pr 0.151 0.414 0.151
Pr 0.414 0.151 0.151
Pr 0.500 0.500 0.500
Pr 0.586 0.849 0.849
Pr 0.849 0.586 0.849
Pr 0.849 0.849 0.586
```

=====

Model two:
A relaxed structure of AcLa12Pr7. Source: Alexandria, functional PBE-GGA. Values from VASP.

- D(E_F): 36.0 states/eV/cell
- Symmetry: Im-3m (229)
- Size of the total moment: 0.0 μB per cell

The structure in Quantum ESPRESSO input format:
```
&SYSTEM
  ibrav = 0, nat = 20, ntyp = 3
/
ATOMIC_SPECIES
Ac 227.00 Ac.upf
La 138.91 La.upf
Pr 140.91 Pr.upf
CELL_PARAMETERS angstrom
-5.943 5.943 5.943
5.943 -5.943 5.943
5.943 5.943 -5.943
ATOMIC_POSITIONS crystal
Ac 0.000 0.000 0.000
La 0.000 0.255 0.745
La 0.000 0.745 0.255
La 0.255 0.000 0.745
La 0.255 0.255 0.510
La 0.255 0.510 0.255
La 0.255 0.745 0.000
La 0.490 0.745 0.745
La 0.510 0.255 0.255
La 0.745 0.000 0.255
La 0.745 0.255 0.000
La 0.745 0.490 0.745
La 0.745 0.745 0.490
Pr 0.000 0.000 0.500
Pr 0.000 0.500 0.000
Pr 0.000 0.500 0.500
Pr 0.500 0.000 0.000
Pr 0.500 0.000 0.500
Pr 0.500 0.500 0.000
Pr 0.500 0.500 0.500
```

=====

Result of the stability comparison: model one is the most stable of them.

=====

Model one:
A relaxed structure of AcLa3Pr. Source: Alexandria, functional PBE-GGA. Values from VASP.

- D(E_F): 12.4 states/eV/cell
- Symmetry: Cmcm (63)
- Size of the total moment: 0.0 μB per cell

The structure in Quantum ESPRESSO input format:
```
&SYSTEM
  ibrav = 0, nat = 10, ntyp = 3
/
ATOMIC_SPECIES
Ac 227.00 Ac.upf
La 138.91 La.upf
Pr 140.91 Pr.upf
CELL_PARAMETERS angstrom
3.109 -4.794 0.000
3.109 4.794 0.000
0.000 0.000 13.364
ATOMIC_POSITIONS crystal
Ac 0.000 0.000 0.000
Ac 0.000 0.000 0.500
La 0.054 0.946 0.750
La 0.368 0.632 0.616
La 0.368 0.632 0.884
La 0.632 0.368 0.116
La 0.632 0.368 0.384
La 0.946 0.054 0.250
Pr 0.290 0.710 0.250
Pr 0.710 0.290 0.750
```

=====

Model two:
A relaxed structure of AcLa3Pr. Source: Alexandria, functional PBE-GGA. Values from VASP.

- D(E_F): 16.9 states/eV/cell
- Symmetry: P-1 (2)
- Size of the total moment: 0.0 μB per cell

The structure in Quantum ESPRESSO input format:
```
&SYSTEM
  ibrav = 0, nat = 10, ntyp = 3
/
ATOMIC_SPECIES
Ac 227.00 Ac.upf
La 138.91 La.upf
Pr 140.91 Pr.upf
CELL_PARAMETERS angstrom
6.198 0.000 0.000
-2.890 6.014 0.000
-0.443 -0.323 10.434
ATOMIC_POSITIONS crystal
Ac 0.051 0.082 0.331
Ac 0.949 0.918 0.669
La 0.064 0.271 0.959
La 0.270 0.570 0.584
La 0.383 0.684 0.256
La 0.617 0.316 0.744
La 0.730 0.430 0.416
La 0.936 0.729 0.041
Pr 0.462 0.787 0.897
Pr 0.538 0.213 0.103
```

=====

Result of the stability comparison: model two is the most stable of them.

=====

Model one:
A relaxed structure of Ac5La4Pr2. Source: Alexandria, functional PBE-GGA. Values from VASP.

- D(E_F): 14.8 states/eV/cell
- Symmetry: Immm (71)
- Size of the total moment: 0.0 μB per cell

The structure in Quantum ESPRESSO input format:
```
&SYSTEM
  ibrav = 0, nat = 11, ntyp = 3
/
ATOMIC_SPECIES
Ac 227.00 Ac.upf
La 138.91 La.upf
Pr 140.91 Pr.upf
CELL_PARAMETERS angstrom
-1.894 5.036 12.040
1.894 -5.036 12.040
1.894 5.036 -12.040
ATOMIC_POSITIONS crystal
Ac 0.000 0.000 0.000
Ac 0.056 0.351 0.705
Ac 0.355 0.649 0.705
Ac 0.645 0.351 0.295
Ac 0.944 0.649 0.295
La 0.302 0.500 0.802
La 0.409 0.909 0.500
La 0.591 0.091 0.500
La 0.698 0.500 0.198
Pr 0.274 0.774 0.500
Pr 0.726 0.226 0.500
```

=====

Model two:
A relaxed structure of Ac5La4Pr2. Source: Alexandria, functional PBE-GGA. Values from VASP.

- D(E_F): 19.8 states/eV/cell
- Symmetry: P2/m (10)
- Size of the total moment: 0.0 μB per cell

The structure in Quantum ESPRESSO input format:
```
&SYSTEM
  ibrav = 0, nat = 11, ntyp = 3
/
ATOMIC_SPECIES
Ac 227.00 Ac.upf
La 138.91 La.upf
Pr 140.91 Pr.upf
CELL_PARAMETERS angstrom
9.490 0.000 0.000
0.000 3.742 0.000
-0.350 0.000 12.765
ATOMIC_POSITIONS crystal
Ac 0.000 0.000 0.000
Ac 0.196 0.000 0.529
Ac 0.282 0.000 0.816
Ac 0.718 0.000 0.184
Ac 0.804 0.000 0.471
La 0.074 0.500 0.269
La 0.465 0.500 0.356
La 0.535 0.500 0.644
La 0.926 0.500 0.731
Pr 0.353 0.000 0.114
Pr 0.647 0.000 0.886
```

=====

Result of the stability comparison: model two is the most stable of them.

=====

Model one:
A relaxed structure of AcLa4Pr6. Source: Alexandria, functional PBE-GGA. Values from VASP.

- D(E_F): 18.2 states/eV/cell
- Symmetry: I-42m (121)
- Size of the total moment: 0.0 μB per cell

The structure in Quantum ESPRESSO input format:
```
&SYSTEM
  ibrav = 0, nat = 11, ntyp = 3
/
ATOMIC_SPECIES
Ac 227.00 Ac.upf
La 138.91 La.upf
Pr 140.91 Pr.upf
CELL_PARAMETERS angstrom
-4.001 4.001 6.726
4.001 -4.001 6.726
4.001 4.001 -6.726
ATOMIC_POSITIONS crystal
Ac 0.000 0.000 0.000
La 0.251 0.251 0.654
La 0.403 0.749 0.000
La 0.597 0.597 0.346
La 0.749 0.403 0.000
Pr 0.000 0.500 0.500
Pr 0.055 0.561 0.000
Pr 0.439 0.439 0.495
Pr 0.500 0.000 0.500
Pr 0.561 0.055 0.000
Pr 0.945 0.945 0.505
```

=====

Model two:
A relaxed structure of AcLa4Pr6. Source: Alexandria, functional PBE-GGA. Values from VASP.

- D(E_F): 18.9 states/eV/cell
- Symmetry: I-42m (121)
- Size of the total moment: 0.0 μB per cell

The structure in Quantum ESPRESSO input format:
```
&SYSTEM
  ibrav = 0, nat = 11, ntyp = 3
/
ATOMIC_SPECIES
Ac 227.00 Ac.upf
La 138.91 La.upf
Pr 140.91 Pr.upf
CELL_PARAMETERS angstrom
-3.436 3.436 8.963
3.436 -3.436 8.963
3.436 3.436 -8.963
ATOMIC_POSITIONS crystal
Ac 0.000 0.000 0.000
La 0.008 0.008 0.382
La 0.374 0.992 0.000
La 0.626 0.626 0.618
La 0.992 0.374 0.000
Pr 0.000 0.500 0.500
Pr 0.199 0.553 0.000
Pr 0.447 0.447 0.646
Pr 0.500 0.000 0.500
Pr 0.553 0.199 0.000
Pr 0.801 0.801 0.354
```

=====

Result of the stability comparison: model two is the most stable of them.

=====

Model one:
A relaxed structure of Ac2La5Pr12. Source: Alexandria, functional PBE-GGA. Values from VASP.

- D(E_F): 28.1 states/eV/cell
- Symmetry: C2/m (12)
- Size of the total moment: 0.0 μB per cell

The structure in Quantum ESPRESSO input format:
```
&SYSTEM
  ibrav = 0, nat = 19, ntyp = 3
/
ATOMIC_SPECIES
Ac 227.00 Ac.upf
La 138.91 La.upf
Pr 140.91 Pr.upf
CELL_PARAMETERS angstrom
8.206 -4.852 0.000
8.206 4.852 0.000
-0.172 0.000 9.070
ATOMIC_POSITIONS crystal
Ac 0.183 0.817 0.000
Ac 0.817 0.183 0.000
La 0.205 0.205 0.021
La 0.271 0.271 0.423
La 0.500 0.500 0.500
La 0.729 0.729 0.577
La 0.795 0.795 0.979
Pr 0.065 0.065 0.338
Pr 0.066 0.686 0.342
Pr 0.169 0.524 0.754
Pr 0.314 0.934 0.658
Pr 0.414 0.414 0.119
Pr 0.476 0.831 0.246
Pr 0.524 0.169 0.754
Pr 0.586 0.586 0.881
Pr 0.686 0.066 0.342
Pr 0.831 0.476 0.246
Pr 0.934 0.314 0.658
Pr 0.935 0.935 0.662
```

=====

Model two:
A relaxed structure of Ac2La5Pr12. Source: Alexandria, functional PBE-GGA. Values from VASP.

- D(E_F): 31.0 states/eV/cell
- Symmetry: C2/m (12)
- Size of the total moment: 0.0 μB per cell

The structure in Quantum ESPRESSO input format:
```
&SYSTEM
  ibrav = 0, nat = 19, ntyp = 3
/
ATOMIC_SPECIES
Ac 227.00 Ac.upf
La 138.91 La.upf
Pr 140.91 Pr.upf
CELL_PARAMETERS angstrom
6.819 -5.995 0.000
6.819 5.995 0.000
-4.461 0.000 8.770
ATOMIC_POSITIONS crystal
Ac 0.237 0.763 0.000
Ac 0.763 0.237 0.000
La 0.191 0.191 0.240
La 0.310 0.310 0.675
La 0.500 0.500 0.500
La 0.690 0.690 0.325
La 0.809 0.809 0.760
Pr 0.064 0.556 0.195
Pr 0.073 0.073 0.774
Pr 0.114 0.670 0.573
Pr 0.330 0.886 0.427
Pr 0.370 0.370 0.053
Pr 0.444 0.936 0.805
Pr 0.556 0.064 0.195
Pr 0.630 0.630 0.947
Pr 0.670 0.114 0.573
Pr 0.886 0.330 0.427
Pr 0.927 0.927 0.226
Pr 0.936 0.444 0.805
```

=====

Result of the stability comparison: model two is the most stable of them.

=====

Model one:
A relaxed structure of Ac2La4Pr5. Source: Alexandria, functional PBE-GGA. Values from VASP.

- D(E_F): 35.6 states/eV/cell
- Symmetry: Pbam (55)
- Size of the total moment: 0.0 μB per cell

The structure in Quantum ESPRESSO input format:
```
&SYSTEM
  ibrav = 0, nat = 22, ntyp = 3
/
ATOMIC_SPECIES
Ac 227.00 Ac.upf
La 138.91 La.upf
Pr 140.91 Pr.upf
CELL_PARAMETERS angstrom
6.926 0.000 0.000
0.000 20.303 0.000
0.000 0.000 6.016
ATOMIC_POSITIONS crystal
Ac 0.111 0.198 0.000
Ac 0.389 0.698 0.000
Ac 0.611 0.302 0.000
Ac 0.889 0.802 0.000
La 0.107 0.374 0.000
La 0.211 0.016 0.000
La 0.289 0.516 0.000
La 0.393 0.874 0.000
La 0.607 0.126 0.000
La 0.711 0.484 0.000
La 0.789 0.984 0.000
La 0.893 0.626 0.000
Pr 0.000 0.500 0.500
Pr 0.041 0.906 0.500
Pr 0.063 0.706 0.500
Pr 0.437 0.206 0.500
Pr 0.459 0.406 0.500
Pr 0.500 0.000 0.500
Pr 0.541 0.594 0.500
Pr 0.563 0.794 0.500
Pr 0.937 0.294 0.500
Pr 0.959 0.094 0.500
```

=====

Model two:
A relaxed structure of Ac2La4Pr5. Source: Alexandria, functional PBE-GGA. Values from VASP.

- D(E_F): 18.9 states/eV/cell
- Symmetry: C2/m (12)
- Size of the total moment: 0.0 μB per cell

The structure in Quantum ESPRESSO input format:
```
&SYSTEM
  ibrav = 0, nat = 11, ntyp = 3
/
ATOMIC_SPECIES
Ac 227.00 Ac.upf
La 138.91 La.upf
Pr 140.91 Pr.upf
CELL_PARAMETERS angstrom
8.672 -3.507 0.000
8.672 3.507 0.000
-1.171 0.000 6.962
ATOMIC_POSITIONS crystal
Ac 0.199 0.199 0.318
Ac 0.801 0.801 0.682
La 0.246 0.246 0.827
La 0.413 0.413 0.597
La 0.587 0.587 0.403
La 0.754 0.754 0.173
Pr 0.000 0.000 0.500
Pr 0.176 0.650 0.097
Pr 0.350 0.824 0.903
Pr 0.650 0.176 0.097
Pr 0.824 0.350 0.903
```

=====

Result of the stability comparison: model one is the most stable of them.